First-principles (PBE) data for an optimized crystal structure of AlCuPdF6, as listed in Alexandria via LeMat-Bulk.

Output
crystal system = trigonal
raw formation energy = -2151 meV/atom
VASP energy = -4.85 eV/atom

a b c (Å): 5.2619 5.2619 9.5074
angles (deg): 90.00 90.00 120.00
Space group P-31c (No. 163)
Unique sites:
1 Al 0.3333 0.6667 0.2500 x2
2 Cu 0.3333 0.6667 0.7500 x2
3 Pd 0.0000 0.0000 0.0000 x2
4 F 0.0404 0.3812 0.1414 x12



First-principles (PBE) data for an optimized crystal structure of RbAlCuF6, as listed in Alexandria via LeMat-Bulk.

Output
crystal system = trigonal
raw formation energy = -2733 meV/atom
VASP energy = -4.96 eV/atom

a b c (Å): 5.2439 5.2439 6.0594
angles (deg): 90.00 90.00 120.00
Space group P312 (No. 149)
Unique sites:
1 Rb 0.0000 0.0000 0.0000 x1
2 Al 0.6667 0.3333 0.5000 x1
3 Cu 0.3333 0.6667 0.5000 x1
4 F 0.3964 0.0308 0.6736 x6



First-principles (PBE) data for an optimized crystal structure of RbAlCu2F8, as listed in Alexandria via LeMat-Bulk.

Output
crystal system = trigonal
raw formation energy = -2311 meV/atom
VASP energy = -4.63 eV/atom

a b c (Å): 5.2707 5.2707 7.7431
angles (deg): 90.00 90.00 120.00
Space group P-3 (No. 147)
Unique sites:
1 Rb 0.0000 0.0000 0.0000 x1
2 Al 0.0000 0.0000 0.5000 x1
3 Cu 0.3333 0.6667 0.6774 x2
4 F 0.0176 0.7259 0.3646 x6
5 F 0.3333 0.6667 0.9120 x2



First-principles (PBE) data for an optimized crystal structure of RbAl2CuF8, as listed in Alexandria via LeMat-Bulk.

Output
crystal system = trigonal
raw formation energy = -2902 meV/atom
VASP energy = -5.20 eV/atom

a b c (Å): 5.3640 5.3640 23.3145
angles (deg): 90.00 90.00 120.00
Space group R-3 (No. 148, hexagonal axes)
Unique sites:
1 Rb 0.0000 0.0000 0.0000 x3
2 Al 0.0000 0.0000 0.2421 x6
3 Cu 0.0000 0.0000 0.5000 x3
4 F 0.0000 0.0000 0.3153 x6
5 F 0.0014 0.3057 0.7780 x18